Entry 1:
The following is a DFT calculation (GGA-PBE) of crystalline In2BiRh2 at its relaxed geometry.

Calculated values
DOS(E_F) = 0.856 states/eV/atom
formation enthalpy at 0 K = 100 meV per atom
V = 22.57 Å³/atom

Cell lengths 6.052, 6.052, 6.052 Å; angles 133.99, 133.99, 67.10 degrees
Fractional positions:
In: 0.139 0.139 0.000
In: 0.861 0.861 0.000
Bi: 0.500 0.500 0.000
Rh: 0.250 0.750 0.500
Rh: 0.750 0.250 0.500

Entry 2:
The following is a DFT calculation (GGA-PBE) of crystalline In2BiRh2 at its relaxed geometry.

Calculated values
DOS(E_F) = 0.607 states/eV/atom
formation enthalpy at 0 K = -226 meV per atom
V = 19.81 Å³/atom

Cell lengths 7.885, 7.885, 3.187 Å; angles 90.00, 90.00, 90.00 degrees
Fractional positions:
In: 0.146 0.354 0.000
In: 0.354 0.854 0.000
In: 0.646 0.146 0.000
In: 0.854 0.646 0.000
Bi: 0.000 0.000 0.500
Bi: 0.500 0.500 0.500
Rh: 0.149 0.649 0.500
Rh: 0.351 0.149 0.500
Rh: 0.649 0.851 0.500
Rh: 0.851 0.351 0.500

Entry 3:
The following is a DFT calculation (GGA-PBE) of crystalline InBiRh3 at its relaxed geometry.

Calculated values
DOS(E_F) = 1.070 states/eV/atom
formation enthalpy at 0 K = 964 meV per atom
V = 23.18 Å³/atom

Cell lengths 4.876, 4.876, 4.876 Å; angles 90.00, 90.00, 90.00 degrees
Fractional positions:
In: 0.000 0.000 0.000
Bi: 0.500 0.500 0.500
Rh: 0.000 0.000 0.500
Rh: 0.000 0.500 0.000
Rh: 0.500 0.000 0.000

Entry 4:
The following is a DFT calculation (GGA-PBE) of crystalline In2BiSbRh at its relaxed geometry.

Calculated values
DOS(E_F) = 1.145 states/eV/atom
V = 35.67 Å³/atom
calculated total energy = -3.032 eV per atom

Cell lengths 5.503, 5.503, 5.890 Å; angles 90.00, 90.00, 90.00 degrees
Fractional positions:
In: 0.000 0.500 0.000
In: 0.500 0.000 0.000
Bi: 0.000 0.000 0.500
Sb: 0.000 0.000 0.000
Rh: 0.500 0.500 0.500

Entry 5:
The following is a DFT calculation (GGA-PBE) of crystalline In2BiTeRh at its relaxed geometry.

Calculated values
DOS(E_F) = 0.245 states/eV/atom
V = 28.60 Å³/atom
calculated total energy = -4.112 eV per atom

Cell lengths 5.202, 5.202, 5.285 Å; angles 90.00, 90.00, 90.00 degrees
Fractional positions:
In: 0.000 0.500 0.000
In: 0.500 0.000 0.000
Bi: 0.000 0.000 0.500
Te: 0.500 0.500 0.500
Rh: 0.000 0.000 0.000

Entry 6:
The following is a DFT calculation (GGA-PBE) of crystalline TlIn2BiRh at its relaxed geometry.

Calculated values
DOS(E_F) = 0.582 states/eV/atom
formation enthalpy at 0 K = -33 meV per atom
V = 29.02 Å³/atom

Cell lengths 5.174, 5.174, 5.420 Å; angles 90.00, 90.00, 90.00 degrees
Fractional positions:
Tl: 0.000 0.000 0.000
In: 0.000 0.500 0.500
In: 0.500 0.000 0.500
Bi: 0.500 0.500 0.000
Rh: 0.500 0.500 0.500

> Look up the V of the fourth one.

35.67 Å³/atom

What did the second record say?
The following is a DFT calculation (GGA-PBE) of crystalline In2BiRh2 at its relaxed geometry.

Calculated values
DOS(E_F) = 0.607 states/eV/atom
formation enthalpy at 0 K = -226 meV per atom
V = 19.81 Å³/atom

Cell lengths 7.885, 7.885, 3.187 Å; angles 90.00, 90.00, 90.00 degrees
Fractional positions:
In: 0.146 0.354 0.000
In: 0.354 0.854 0.000
In: 0.646 0.146 0.000
In: 0.854 0.646 0.000
Bi: 0.000 0.000 0.500
Bi: 0.500 0.500 0.500
Rh: 0.149 0.649 0.500
Rh: 0.351 0.149 0.500
Rh: 0.649 0.851 0.500
Rh: 0.851 0.351 0.500